Record 1
First-principles (PBE) data for a geometry-optimized Y3Co3Ge8 structure, as listed in the Alexandria database.

Lattice parameters (Å, degrees): 18.029 3.975 7.773 90.00 112.90 90.00
Space group C2/m (No. 12)
Inequivalent atoms, fractional coordinates:
Y 0.000 0.000 0.000 (multiplicity 2)
Y 0.247 0.500 0.691 (multiplicity 4)
Co 0.000 0.000 0.500 (multiplicity 2)
Co 0.154 0.500 0.987 (multiplicity 4)
Ge 0.043 0.500 0.700 (multiplicity 4)
Ge 0.119 0.000 0.464 (multiplicity 4)
Ge 0.123 0.500 0.250 (multiplicity 4)
Ge 0.189 0.000 0.888 (multiplicity 4)

ρ	6.63	g cm⁻³
total magnetic moment	0.0	μB/f.u.
formation enthalpy at 0 K	-43.1	kJ per mole of atoms
crystal system	monoclinic
DFT total energy	-5.99	eV per atom

***

Record 2
First-principles (PBE) data for a geometry-optimized Y3Co6Ge5 structure, as listed in the Alexandria database.

Lattice parameters (Å, degrees): 3.931 11.954 9.495 90.00 90.00 90.00
Space group Pmmn (No. 59, origin choice 2)
Inequivalent atoms, fractional coordinates:
Y 0.250 0.086 0.246 (multiplicity 4)
Y 0.250 0.750 0.252 (multiplicity 2)
Co 0.250 0.055 0.903 (multiplicity 4)
Co 0.250 0.250 0.513 (multiplicity 2)
Co 0.250 0.250 0.996 (multiplicity 2)
Co 0.250 0.581 0.494 (multiplicity 4)
Ge 0.250 0.079 0.647 (multiplicity 4)
Ge 0.250 0.629 0.986 (multiplicity 4)
Ge 0.250 0.750 0.620 (multiplicity 2)

ρ	7.32	g cm⁻³
total magnetic moment	0.0	μB/f.u.
formation enthalpy at 0 K	-54.2	kJ per mole of atoms
crystal system	orthorhombic
DFT total energy	-6.64	eV per atom

***

Record 3
First-principles (PBE) data for a geometry-optimized Y3Co2Ge4 structure, as listed in the Alexandria database.

Lattice parameters (Å, degrees): 10.677 4.163 8.032 90.00 107.55 90.00
Space group C2/m (No. 12)
Inequivalent atoms, fractional coordinates:
Y 0.000 0.000 0.000 (multiplicity 2)
Y 0.122 0.500 0.694 (multiplicity 4)
Co 0.192 0.500 0.373 (multiplicity 4)
Ge 0.099 0.000 0.400 (multiplicity 4)
Ge 0.209 0.500 0.082 (multiplicity 4)

ρ	6.59	g cm⁻³
total magnetic moment	0.0	μB/f.u.
formation enthalpy at 0 K	-70.4	kJ per mole of atoms
crystal system	monoclinic
DFT total energy	-6.52	eV per atom

***

Record 4
First-principles (PBE) data for a geometry-optimized Y3CoGe3 structure, as listed in the Alexandria database.

Lattice parameters (Å, degrees): 10.668 4.224 13.810 90.00 110.64 90.00
Space group C2/m (No. 12)
Inequivalent atoms, fractional coordinates:
Y 0.027 0.000 0.382 (multiplicity 4)
Y 0.097 0.000 0.919 (multiplicity 4)
Y 0.245 0.000 0.230 (multiplicity 4)
Co 0.245 0.500 0.413 (multiplicity 4)
Ge 0.046 0.500 0.243 (multiplicity 4)
Ge 0.126 0.500 0.076 (multiplicity 4)
Ge 0.143 0.500 0.547 (multiplicity 4)

ρ	6.20	g cm⁻³
total magnetic moment	0.4	μB/f.u.
formation enthalpy at 0 K	-77.7	kJ per mole of atoms
crystal system	monoclinic
DFT total energy	-6.57	eV per atom

***

Record 5
First-principles (PBE) data for a geometry-optimized YCo2Ge4 structure, as listed in the Alexandria database.

Lattice parameters (Å, degrees): 16.958 4.044 6.488 90.00 90.00 90.00
Space group Pnma (No. 62)
Inequivalent atoms, fractional coordinates:
Y 0.141 0.250 0.013 (multiplicity 4)
Co 0.034 0.750 0.748 (multiplicity 4)
Co 0.211 0.250 0.493 (multiplicity 4)
Ge 0.028 0.750 0.137 (multiplicity 4)
Ge 0.067 0.250 0.520 (multiplicity 4)
Ge 0.180 0.750 0.700 (multiplicity 4)
Ge 0.199 0.750 0.290 (multiplicity 4)

ρ	7.42	g cm⁻³
total magnetic moment	0.0	μB/f.u.
formation enthalpy at 0 K	-41.8	kJ per mole of atoms
crystal system	orthorhombic
DFT total energy	-6.03	eV per atom

***

Record 6
First-principles (PBE) data for a geometry-optimized Y3CoGe structure, as listed in the Alexandria database.

Lattice parameters (Å, degrees): 5.079 5.079 5.079 90.00 90.00 90.00
Space group Pm-3m (No. 221)
Inequivalent atoms, fractional coordinates:
Y 0.000 0.000 0.500 (multiplicity 3)
Co 0.000 0.000 0.000 (multiplicity 1)
Ge 0.500 0.500 0.500 (multiplicity 1)

ρ	5.05	g cm⁻³
total magnetic moment	0.0	μB/f.u.
formation enthalpy at 0 K	-15.0	kJ per mole of atoms
crystal system	cubic
DFT total energy	-6.38	eV per atom

***

Record 7
First-principles (PBE) data for a geometry-optimized YCoGe structure, as listed in the Alexandria database.

Lattice parameters (Å, degrees): 4.1226 4.1226 3.7759 90.00 90.00 120.00
Space group P-6m2 (No. 187)
Inequivalent atoms, fractional coordinates:
Y 0.0000 0.0000 0.0000 (multiplicity 1)
Co 0.3333 0.6667 0.5000 (multiplicity 1)
Ge 0.6667 0.3333 0.5000 (multiplicity 1)

ρ	6.59	g cm⁻³
total magnetic moment	0.0	μB/f.u.
formation enthalpy at 0 K	-56.4	kJ per mole of atoms
crystal system	hexagonal
DFT total energy	-6.65	eV per atom

***

Record 8
First-principles (PBE) data for a geometry-optimized Y2CoGe3 structure, as listed in the Alexandria database.

Lattice parameters (Å, degrees): 10.480 4.199 6.955 90.00 130.55 90.00
Space group Cm (No. 8)
Inequivalent atoms, fractional coordinates:
Y 0.000 0.000 0.000 (multiplicity 2)
Y 0.116 0.000 0.592 (multiplicity 2)
Co 0.236 0.500 0.047 (multiplicity 2)
Ge 0.244 0.500 0.403 (multiplicity 2)
Ge 0.362 0.000 0.166 (multiplicity 2)
Ge 0.454 0.000 0.671 (multiplicity 2)

ρ	6.49	g cm⁻³
total magnetic moment	0.0	μB/f.u.
formation enthalpy at 0 K	-62.1	kJ per mole of atoms
crystal system	monoclinic
DFT total energy	-6.29	eV per atom

***

Calculated Fermi-level density of states, 17.338; 17.240; 12.022; 17.683; 11.278; 5.500; 2.885; 6.908 states/eV per cell (same order as the records).